[1]
The following is a PBE calculation of a geometry-optimized LaSnAs2Br structure, from Alexandria via LeMat-Bulk.

The calculation puts the uncorrected formation energy at -0.3 kcal/mol of atoms. The calculated density is 4.39 g cm⁻³. The volume comes out at 36.9 Å³ per atom. As for the crystal system: tetragonal. The polymorph energy (0 for the lowest one) comes out at 247 meV/atom.

The space group is P4/mmm (No. 123) and the conventional cell measures 5.716, 5.716 and 5.649 Å, with angles of 90.00, 90.00 and 90.00 degrees. Symmetry generates all atoms from La at (0.000, 0.000, 0.000), Sn at (0.500, 0.500, 0.500), As at (0.000, 0.500, 0.000) and Br at (0.000, 0.000, 0.500).



[2]
The following is a PBE calculation of a geometry-optimized SrLaAs2Br structure, from Alexandria via LeMat-Bulk.

The calculation puts the uncorrected formation energy at -9.0 kcal/mol of atoms. The calculated density is 4.48 g cm⁻³. The volume comes out at 33.8 Å³ per atom. As for the crystal system: tetragonal. The polymorph energy (0 for the lowest one) comes out at 384 meV/atom.

The space group is P4/mmm (No. 123) and the conventional cell measures 5.544, 5.544 and 5.499 Å, with angles of 90.00, 90.00 and 90.00 degrees. Symmetry generates all atoms from Sr at (0.000, 0.000, 0.000), La at (0.500, 0.500, 0.500), As at (0.000, 0.500, 0.000) and Br at (0.000, 0.000, 0.500).



[3]
The following is a PBE calculation of a geometry-optimized SrLaAs2Br structure, from Alexandria via LeMat-Bulk.

The calculation puts the uncorrected formation energy at -17.8 kcal/mol of atoms. The calculated density is 4.11 g cm⁻³. The volume comes out at 36.9 Å³ per atom. As for the crystal system: tetragonal. The polymorph energy (0 for the lowest one) comes out at 0 meV/atom.

The space group is P4/mmm (No. 123) and the conventional cell measures 5.649, 5.649 and 5.778 Å, with angles of 90.00, 90.00 and 90.00 degrees. Symmetry generates all atoms from Sr at (0.000, 0.000, 0.000), La at (0.500, 0.500, 0.500), As at (0.000, 0.500, 0.500) and Br at (0.500, 0.500, 0.000).



[4]
The following is a PBE calculation of a geometry-optimized LaTaAsBr2 structure, from Alexandria via LeMat-Bulk.

The calculation puts the uncorrected formation energy at 10.7 kcal/mol of atoms. The calculated density is 4.84 g cm⁻³. The volume comes out at 38.0 Å³ per atom. As for the crystal system: tetragonal. The polymorph energy (0 for the lowest one) comes out at 799 meV/atom.

The space group is P4/mmm (No. 123) and the conventional cell measures 5.607, 5.607 and 6.048 Å, with angles of 90.00, 90.00 and 90.00 degrees. Symmetry generates all atoms from La at (0.000, 0.000, 0.000), Ta at (0.500, 0.500, 0.500), As at (0.000, 0.000, 0.500) and Br at (0.000, 0.500, 0.000).



[5]
The following is a PBE calculation of a geometry-optimized LaTaAsBr2 structure, from Alexandria via LeMat-Bulk.

The calculation puts the uncorrected formation energy at -7.8 kcal/mol of atoms. The calculated density is 6.99 g cm⁻³. The volume comes out at 26.3 Å³ per atom. As for the crystal system: tetragonal. The polymorph energy (0 for the lowest one) comes out at 0 meV/atom.

The space group is P4/mmm (No. 123) and the conventional cell measures 5.077, 5.077 and 5.109 Å, with angles of 90.00, 90.00 and 90.00 degrees. Symmetry generates all atoms from La at (0.000, 0.000, 0.000), Ta at (0.500, 0.500, 0.500), As at (0.500, 0.500, 0.000) and Br at (0.000, 0.500, 0.500).



[6]
The following is a PBE calculation of a geometry-optimized La8Te4As3Br structure, from Alexandria via LeMat-Bulk.

The calculation puts the uncorrected formation energy at -37.0 kcal/mol of atoms. The calculated density is 6.30 g cm⁻³. The volume comes out at 31.7 Å³ per atom. As for the crystal system: trigonal.

The space group is R-3m (No. 166, hexagonal axes) and the conventional cell measures 8.8883, 8.8883 and 22.2460 Å, with angles of 90.00, 90.00 and 120.00 degrees. Symmetry generates all atoms from La at (0.0000, 0.0000, 0.2406), La at (0.0122, 0.5061, 0.7578), Te at (0.0000, 0.0000, 0.0000), Te at (0.0000, 0.5000, 0.0000), As at (0.0000, 0.5000, 0.5000) and Br at (0.0000, 0.0000, 0.5000).



[7]
The following is a PBE calculation of a geometry-optimized La3TeAsBr structure, from Alexandria via LeMat-Bulk.

The calculation puts the uncorrected formation energy at -32.2 kcal/mol of atoms. The calculated density is 5.53 g cm⁻³. The volume comes out at 35.0 Å³ per atom. As for the crystal system: monoclinic.

The space group is P2_1/m (No. 11) and the conventional cell measures 9.146, 4.357 and 10.550 Å, with angles of 90.00, 92.91 and 90.00 degrees. Symmetry generates all atoms from La at (0.105, 0.250, 0.357), La at (0.150, 0.250, 0.924), La at (0.363, 0.750, 0.635), Te at (0.369, 0.750, 0.326), As at (0.130, 0.250, 0.644) and Br at (0.373, 0.750, 0.925).



[8]
The following is a PBE calculation of a geometry-optimized La4Te2AsBr structure, from Alexandria via LeMat-Bulk.

The calculation puts the uncorrected formation energy at -35.8 kcal/mol of atoms. The calculated density is 6.34 g cm⁻³. The volume comes out at 31.6 Å³ per atom. As for the crystal system: monoclinic.

The space group is P2/m (No. 10) and the conventional cell measures 7.732, 4.445 and 7.785 Å, with angles of 90.00, 109.14 and 90.00 degrees. Symmetry generates all atoms from La at (0.230, 0.000, 0.226), La at (0.243, 0.500, 0.768), Te at (0.000, 0.000, 0.500), Te at (0.500, 0.500, 0.500), As at (0.000, 0.500, 0.000) and Br at (0.500, 0.000, 0.000).



[9]
The following is a PBE calculation of a geometry-optimized La6Te3As2Br structure, from Alexandria via LeMat-Bulk.

The calculation puts the uncorrected formation energy at -36.6 kcal/mol of atoms. The calculated density is 6.32 g cm⁻³. The volume comes out at 31.7 Å³ per atom. As for the crystal system: monoclinic.

The space group is C2/m (No. 12) and the conventional cell measures 19.553, 4.444 and 9.009 Å, with angles of 90.00, 103.86 and 90.00 degrees. Symmetry generates all atoms from La at (0.009, 0.000, 0.249), La at (0.168, 0.500, 0.106), La at (0.173, 0.500, 0.568), Te at (0.000, 0.500, 0.500), Te at (0.163, 0.000, 0.833), As at (0.167, 0.000, 0.333) and Br at (0.000, 0.500, 0.000).



[10]
The following is a PBE calculation of a geometry-optimized La6TeAs2Br3 structure, from Alexandria via LeMat-Bulk.

The calculation puts the uncorrected formation energy at -34.5 kcal/mol of atoms. The calculated density is 6.15 g cm⁻³. The volume comes out at 30.4 Å³ per atom. As for the crystal system: monoclinic.

The space group is C2/m (No. 12) and the conventional cell measures 19.103, 4.410 and 8.828 Å, with angles of 90.00, 101.53 and 90.00 degrees. Symmetry generates all atoms from La at (0.011, 0.000, 0.260), La at (0.169, 0.500, 0.108), La at (0.172, 0.500, 0.567), Te at (0.000, 0.500, 0.000), As at (0.170, 0.000, 0.336), Br at (0.000, 0.500, 0.500) and Br at (0.163, 0.000, 0.832).



[11]
The following is a PBE calculation of a geometry-optimized La4TeAs2Br structure, from Alexandria via LeMat-Bulk.

The calculation puts the uncorrected formation energy at -37.0 kcal/mol of atoms. The calculated density is 6.11 g cm⁻³. The volume comes out at 31.0 Å³ per atom. As for the crystal system: monoclinic.

The space group is P2/m (No. 10) and the conventional cell measures 7.586, 4.389 and 7.866 Å, with angles of 90.00, 108.76 and 90.00 degrees. Symmetry generates all atoms from La at (0.236, 0.000, 0.217), La at (0.258, 0.500, 0.781), Te at (0.000, 0.000, 0.500), As at (0.000, 0.500, 0.000), As at (0.500, 0.000, 0.000) and Br at (0.500, 0.500, 0.500).



[12]
The following is a PBE calculation of a geometry-optimized LaTiAsBr2 structure, from Alexandria via LeMat-Bulk.

The calculation puts the uncorrected formation energy at -19.2 kcal/mol of atoms. The calculated density is 5.47 g cm⁻³. The volume comes out at 25.6 Å³ per atom. As for the crystal system: tetragonal. The polymorph energy (0 for the lowest one) comes out at 0 meV/atom.

The space group is P4/mmm (No. 123) and the conventional cell measures 4.981, 4.981 and 5.159 Å, with angles of 90.00, 90.00 and 90.00 degrees. Symmetry generates all atoms from La at (0.000, 0.000, 0.000), Ti at (0.500, 0.500, 0.500), As at (0.500, 0.500, 0.000) and Br at (0.000, 0.500, 0.500).